Y3ZnIr, optimized geometry, DFT PBE-GGA; formation energy from the elements = -0.1885 eV per atom; V = 155 Å³/cell; offset from the most stable computed form = 0.0000 eV per atom; crystal system = cubic
1.0
-1.518 1.442 4.952
1.216 -4.916 1.804
5.012 1.630 1.062
Y Zn Ir
3 1 1
direct
0.500 0.000 0.000
0.000 0.500 0.000
0.000 0.000 0.500
0.500 0.500 0.500
0.000 0.000 0.000



YZn4Ir, optimized geometry, DFT PBE-GGA; formation energy from the elements = -0.4176 eV per atom; V = 95 Å³/cell; crystal system = cubic
1.0
-3.413 3.805 -0.225
-3.240 0.763 3.885
0.538 4.100 3.013
Zn Y Ir
4 1 1
direct
0.624 0.624 0.624
0.128 0.624 0.624
0.624 0.624 0.128
0.624 0.128 0.624
0.000 0.000 0.000
0.250 0.250 0.250



YZn2Ir2, optimized geometry, DFT PBE-GGA; formation energy from the elements = -0.4352 eV per atom; V = 178 Å³/cell; offset from the most stable computed form = 0.0013 eV per atom; crystal system = tetragonal
1.0
3.962 0.000 0.000
0.000 3.962 0.000
-1.981 -1.981 11.360
Zn Y Ir
4 2 4
direct
0.179 0.179 0.358
0.000 0.500 0.000
0.500 0.000 0.000
0.821 0.821 0.642
0.629 0.629 0.259
0.371 0.371 0.741
0.930 0.930 0.859
0.250 0.750 0.500
0.750 0.250 0.500
0.070 0.070 0.141



Y3Zn2Ir7, optimized geometry, DFT PBE-GGA; formation energy from the elements = -0.6485 eV per atom; V = 212 Å³/cell; crystal system = trigonal
1.0
-3.432 2.164 3.590
-0.534 -2.217 4.914
4.792 4.899 5.717
Ir Y Zn
7 3 2
direct
0.076 0.587 0.750
0.413 0.924 0.250
0.587 0.076 0.750
0.500 0.500 0.500
0.924 0.413 0.250
0.413 0.413 0.250
0.587 0.587 0.750
0.000 0.000 0.000
0.859 0.859 0.423
0.141 0.141 0.577
0.665 0.665 0.006
0.335 0.335 0.994



YZnIr, optimized geometry, DFT PBE-GGA; formation energy from the elements = -0.5731 eV per atom; V = 58 Å³/cell; crystal system = hexagonal
1.0
-2.981 -0.498 -3.217
4.306 -0.331 -0.911
-0.125 -3.403 0.643
Ir Y Zn
1 1 1
direct
0.000 0.000 0.833
0.333 0.667 0.334
0.667 0.333 0.833



Y5ZnIr4, optimized geometry, DFT PBE-GGA; formation energy from the elements = -0.7081 eV per atom; V = 209 Å³/cell; crystal system = tetragonal
1.0
-3.457 -0.224 -0.274
0.340 -2.839 -1.975
-0.482 -9.928 14.186
Zn Ir Y
1 4 5
direct
0.000 0.000 0.000
0.000 0.000 0.401
0.000 0.000 0.599
0.000 0.000 0.203
0.000 0.000 0.797
0.500 0.500 0.304
0.500 0.500 0.500
0.500 0.500 0.890
0.500 0.500 0.696
0.500 0.500 0.110



YZnIr2, optimized geometry, DFT PBE-GGA; formation energy from the elements = -0.1316 eV per atom; V = 70 Å³/cell; crystal system = cubic
1.0
-1.439 3.086 3.125
1.710 -0.090 4.293
2.850 3.348 1.423
Y Ir Zn
1 2 1
direct
0.500 0.500 0.500
0.000 0.000 0.000
0.250 0.250 0.250
0.750 0.750 0.750



YZnIr2, optimized geometry, DFT PBE-GGA; formation energy from the elements = -0.1040 eV per atom; V = 71 Å³/cell; crystal system = tetragonal
1.0
3.410 0.000 0.000
0.000 3.410 0.000
0.000 0.000 6.129
Y Ir Zn
1 2 1
direct
0.000 0.000 0.488
0.000 0.000 0.965
0.500 0.500 0.241
0.500 0.500 0.806